No. 1
An optimized crystal structure of BaNbGaCl2, computed with PBE-GGA.

Cell: 5.0171 5.0171 5.2374 Å, 90.00 90.00 90.00°
Closest atoms and distances in Å follow each position.
Space group P4/mmm (No. 123)
Asymmetric unit:
Ba 0.0000 0.0000 0.0000 x1  4 Ga 3.55, 8 Cl 3.63
Nb 0.5000 0.5000 0.5000 x1  4 Cl 2.51, 2 Ga 2.62
Ga 0.5000 0.5000 0.0000 x1  2 Nb 2.62
Cl 0.0000 0.5000 0.5000 x2  2 Nb 2.51

D(E_F): 4.95 states/eV/cell
Calculated density: 4.67 g/cm3
Calculated total energy: -22.09 eV/cell
Total magnetic moment: 0.199 μB/cell
E_form (uncorrected): -0.676 eV per atom



No. 2
An optimized crystal structure of BaNpGa2Cl8, computed with PBE-GGA.

Cell: 6.9054 8.9715 6.9087 Å, 90.00 91.55 90.00°
Closest atoms and distances in Å follow each position.
Space group P2/m (No. 10)
Asymmetric unit:
Ba 0.0000 0.0000 0.0000 x1  6 Cl 3.07-3.13
Np 0.0000 0.5000 0.0000 x1  6 Cl 2.56-2.66
Ga 0.5000 0.2343 0.5000 x2  2 Cl 2.76
Cl 0.2127 0.2835 0.8497 x4  1 Np 2.66
Cl 0.2235 0.5000 0.3022 x2  1 Np 2.56
Cl 0.2862 0.0000 0.3473 x2  2 Ga 2.76, 1 Ba 3.07

D(E_F): 3.94 states/eV/cell
Calculated density: 3.09 g/cm3
Calculated total energy: -54.13 eV/cell
Total magnetic moment: 3.000 μB/cell
E_form (uncorrected): -1.536 eV per atom



| no. | volume (Å³ per cell) |
| --- | --- |
| 1 | 131.83 |
| 2 | 427.85 |